A relaxed structure of ReOs3Ru2. Source: the Alexandria database, functional PBE-GGA.

The electronic total energy is -10.548 eV per atom. The formation energy is 0.233 eV per atom. The value obtained for the spin magnetization is 0.0 μB per formula unit. The calculation puts the volume at 14.84 A^3/atom.

The space group is C2/m (No. 12) and the conventional cell measures 17.618, 2.740 and 7.871 Å, with angles of 90.00, 110.40 and 90.00 degrees. The distinct sites, in fractional coordinates, are Re at (0.173, 0.000, 0.036), Os at (0.058, 0.000, 0.426), Os at (0.074, 0.500, 0.747), Os at (0.204, 0.000, 0.731), Ru at (0.064, 0.500, 0.132) and Ru at (0.196, 0.000, 0.381).

A relaxed structure of Re2OsRu. Source: the Alexandria database, functional PBE-GGA.

The electronic total energy is -10.779 eV per atom. The formation energy is 0.571 eV per atom. The value obtained for the spin magnetization is 0.9 μB per formula unit. The calculation puts the volume at 14.87 A^3/atom.

The space group is Fm-3m (No. 225) and the conventional cell measures 6.197, 6.197 and 6.197 Å, with angles of 90.00, 90.00 and 90.00 degrees. The distinct sites, in fractional coordinates, are Re at (0.250, 0.250, 0.250), Os at (0.000, 0.000, 0.000) and Ru at (0.000, 0.000, 0.500).

A relaxed structure of Re2OsRu. Source: the Alexandria database, functional PBE-GGA.

The electronic total energy is -11.284 eV per atom. The formation energy is 0.067 eV per atom. The value obtained for the spin magnetization is 0.0 μB per formula unit. The calculation puts the volume at 14.62 A^3/atom.

The space group is P4mm (No. 99) and the conventional cell measures 2.738, 2.738 and 7.801 Å, with angles of 90.00, 90.00 and 90.00 degrees. The distinct sites, in fractional coordinates, are Re at (0.000, 0.000, 0.000), Re at (0.500, 0.500, 0.269), Os at (0.500, 0.500, 0.764) and Ru at (0.000, 0.000, 0.505).

A relaxed structure of Re2OsRu. Source: the Alexandria database, functional PBE-GGA.

The electronic total energy is -11.441 eV per atom. The formation energy is -0.091 eV per atom. The value obtained for the spin magnetization is 0.0 μB per formula unit. The calculation puts the volume at 14.49 A^3/atom.

The space group is Pmm2 (No. 25) and the conventional cell measures 2.765, 4.376 and 4.790 Å, with angles of 90.00, 90.00 and 90.00 degrees. The distinct sites, in fractional coordinates, are Re at (0.000, 0.000, 0.000), Re at (0.000, 0.500, 0.333), Os at (0.500, 0.000, 0.498) and Ru at (0.500, 0.500, 0.840).

A relaxed structure of ReOs2Ru. Source: the Alexandria database, functional PBE-GGA.

The electronic total energy is -10.701 eV per atom. The formation energy is 0.345 eV per atom. The value obtained for the spin magnetization is 0.0 μB per formula unit. The calculation puts the volume at 14.85 A^3/atom.

The space group is C2 (No. 5) and the conventional cell measures 4.791, 9.097 and 2.727 Å, with angles of 90.00, 91.93 and 90.00 degrees. The distinct sites, in fractional coordinates, are Re at (0.000, 0.000, 0.000), Os at (0.231, 0.730, 0.275) and Ru at (0.000, 0.465, 0.500).

A relaxed structure of ReOsRu2. Source: the Alexandria database, functional PBE-GGA.

The electronic total energy is -9.924 eV per atom. The formation energy is 0.633 eV per atom. The value obtained for the spin magnetization is 1.3 μB per formula unit. The calculation puts the volume at 14.68 A^3/atom.

The space group is Fm-3m (No. 225) and the conventional cell measures 6.170, 6.170 and 6.170 Å, with angles of 90.00, 90.00 and 90.00 degrees. The distinct sites, in fractional coordinates, are Re at (0.000, 0.000, 0.000), Os at (0.000, 0.000, 0.500) and Ru at (0.250, 0.250, 0.250).

A relaxed structure of Re2Os5Ru4. Source: the Alexandria database, functional PBE-GGA.

The electronic total energy is -10.261 eV per atom. The formation energy is 0.480 eV per atom. The value obtained for the spin magnetization is 0.0 μB per formula unit. The calculation puts the volume at 15.97 A^3/atom.

The space group is C2/m (No. 12) and the conventional cell measures 14.290, 3.810 and 6.473 Å, with angles of 90.00, 94.28 and 90.00 degrees. The distinct sites, in fractional coordinates, are Re at (0.069, 0.000, 0.139), Os at (0.000, 0.000, 0.500), Os at (0.115, 0.500, 0.395), Os at (0.204, 0.500, 0.060), Ru at (0.061, 0.500, 0.790) and Ru at (0.249, 0.500, 0.674).

A relaxed structure of ReOs2Ru. Source: the Alexandria database, functional PBE-GGA.

The electronic total energy is -10.944 eV per atom. The formation energy is 0.102 eV per atom. The value obtained for the spin magnetization is 0.0 μB per formula unit. The calculation puts the volume at 14.41 A^3/atom.

The space group is R3m (No. 160, hexagonal axes) and the conventional cell measures 2.7342, 2.7342 and 26.7160 Å, with angles of 90.00, 90.00 and 120.00 degrees. The distinct sites, in fractional coordinates, are Re at (0.0000, 0.0000, 0.0000), Os at (0.0000, 0.0000, 0.5005), Os at (0.0000, 0.0000, 0.7506) and Ru at (0.0000, 0.0000, 0.2498).